Record 1
A relaxed structure of LaCd, computed with PBE.

## Properties
* energy relative to the elements: -0.1941 eV/atom
* total energy: -3.115 eV/atom
* crystal system: hexagonal

Lattice parameters (Å, degrees): 5.003 5.003 10.785 90.00 90.00 120.00
Fractional positions:
La 0.333 0.667 0.083
La 0.333 0.667 0.417
La 0.667 0.333 0.583
La 0.667 0.333 0.917
Cd 0.000 0.000 0.250
Cd 0.000 0.000 0.750
Cd 0.333 0.667 0.750
Cd 0.667 0.333 0.250

---

Record 2
A relaxed structure of LaCd, computed with PBE.

## Properties
* energy relative to the elements: 0.6040 eV/atom
* total energy: -2.317 eV/atom
* crystal system: cubic

Lattice parameters (Å, degrees): 8.692 8.692 8.692 109.47 109.47 109.47
Fractional positions:
La 0.000 0.000 0.253
La 0.000 0.253 0.000
La 0.253 0.000 0.000
La 0.747 0.747 0.747
Cd 0.000 0.000 0.628
Cd 0.000 0.628 0.000
Cd 0.372 0.372 0.372
Cd 0.628 0.000 0.000

---

Record 3
A relaxed structure of La2Cd, computed with PBE.

## Properties
* energy relative to the elements: 0.1064 eV/atom
* total energy: -3.484 eV/atom
* crystal system: cubic

Lattice parameters (Å, degrees): 7.720 7.720 7.720 90.00 90.00 90.00
Fractional positions:
La 0.152 0.152 0.152
La 0.152 0.348 0.652
La 0.348 0.652 0.152
La 0.348 0.848 0.652
La 0.652 0.152 0.348
La 0.652 0.348 0.848
La 0.848 0.652 0.348
La 0.848 0.848 0.848
Cd 0.000 0.000 0.500
Cd 0.000 0.500 0.000
Cd 0.500 0.000 0.000
Cd 0.500 0.500 0.500

---

Record 4
A relaxed structure of LaCd, computed with PBE.

## Properties
* energy relative to the elements: 0.6875 eV/atom
* total energy: -2.234 eV/atom
* crystal system: cubic

Lattice parameters (Å, degrees): 8.821 8.821 8.821 90.00 90.00 90.00
Fractional positions:
La 0.000 0.250 0.500
La 0.000 0.750 0.500
La 0.250 0.500 0.000
La 0.500 0.000 0.250
La 0.500 0.000 0.750
La 0.750 0.500 0.000
Cd 0.000 0.500 0.250
Cd 0.000 0.500 0.750
Cd 0.250 0.000 0.500
Cd 0.500 0.250 0.000
Cd 0.500 0.750 0.000
Cd 0.750 0.000 0.500

---

Record 5
A relaxed structure of La3Cd, computed with PBE.

## Properties
* energy relative to the elements: -0.0639 eV/atom
* total energy: -3.988 eV/atom
* crystal system: trigonal

Lattice parameters (Å, degrees): 6.495 6.495 6.495 116.46 116.46 116.46
Fractional positions:
La 0.000 0.500 0.500
La 0.500 0.000 0.500
La 0.500 0.500 0.000
Cd 0.000 0.000 0.000

---

Record 6
A relaxed structure of LaCd3, computed with PBE.

## Properties
* energy relative to the elements: -0.2021 eV/atom
* total energy: -2.120 eV/atom
* crystal system: orthorhombic

Lattice parameters (Å, degrees): 3.631 3.670 7.835 90.00 90.00 90.00
Fractional positions:
La 0.000 0.000 0.000
Cd 0.000 0.000 0.500
Cd 0.500 0.500 0.281
Cd 0.500 0.500 0.719

---

Record 7
A relaxed structure of La5Cd, computed with PBE.

## Properties
* energy above the lowest structure with this stoichiometry: 42 meV/atom
* energy relative to the elements: -0.0673 eV/atom
* total energy: -4.326 eV/atom
* crystal system: orthorhombic

Lattice parameters (Å, degrees): 8.231 8.231 5.132 90.00 90.00 144.16
Fractional positions:
La 0.000 0.000 0.000
La 0.168 0.832 0.500
La 0.339 0.661 0.000
La 0.661 0.339 0.000
La 0.832 0.168 0.500
Cd 0.500 0.500 0.500

---

Record 8
A relaxed structure of La5Cd, computed with PBE.

## Properties
* energy above the lowest structure with this stoichiometry: 110 meV/atom
* energy relative to the elements: 0.0013 eV/atom
* total energy: -4.257 eV/atom
* crystal system: monoclinic

Lattice parameters (Å, degrees): 6.214 6.214 9.652 93.14 93.14 34.13
Fractional positions:
La 0.000 0.000 0.000
La 0.006 0.006 0.376
La 0.271 0.271 0.193
La 0.442 0.442 0.664
La 0.724 0.724 0.852
Cd 0.732 0.732 0.496

---

Record 9
A relaxed structure of La5Cd, computed with PBE.

## Properties
* energy above the lowest structure with this stoichiometry: 474 meV/atom
* energy relative to the elements: 0.3645 eV/atom
* total energy: -3.894 eV/atom
* crystal system: hexagonal

Lattice parameters (Å, degrees): 6.518 6.518 5.973 90.00 90.00 120.00
Fractional positions:
La 0.000 0.500 0.000
La 0.333 0.667 0.500
La 0.500 0.000 0.000
La 0.500 0.500 0.000
La 0.667 0.333 0.500
Cd 0.000 0.000 0.500

---

Record 10
A relaxed structure of LaCd2, computed with PBE.

## Properties
* energy relative to the elements: 0.0835 eV/atom
* total energy: -2.169 eV/atom
* crystal system: cubic

Lattice parameters (Å, degrees): 5.244 5.244 5.244 60.00 60.00 60.00
Fractional positions:
La 0.000 0.000 0.000
Cd 0.250 0.250 0.250
Cd 0.750 0.750 0.750

---

Record 11
A relaxed structure of La2Cd, computed with PBE.

## Properties
* energy relative to the elements: -0.1762 eV/atom
* total energy: -3.766 eV/atom
* crystal system: monoclinic

Lattice parameters (Å, degrees): 6.553 6.553 8.428 109.17 109.17 34.40
Fractional positions:
La 0.012 0.012 0.220
La 0.338 0.338 0.397
La 0.662 0.662 0.603
La 0.988 0.988 0.780
Cd 0.314 0.314 0.930
Cd 0.686 0.686 0.070

---

Record 12
A relaxed structure of La3Cd5, computed with PBE.

## Properties
* energy above the lowest structure with this stoichiometry: 0 meV/atom
* energy relative to the elements: -0.2910 eV/atom
* total energy: -2.711 eV/atom
* crystal system: orthorhombic

Lattice parameters (Å, degrees): 6.768 6.768 5.382 90.00 90.00 110.41
Fractional positions:
La 0.000 0.000 0.000
La 0.280 0.720 0.500
La 0.720 0.280 0.500
Cd 0.000 0.500 0.000
Cd 0.230 0.230 0.500
Cd 0.500 0.000 0.000
Cd 0.500 0.500 0.000
Cd 0.770 0.770 0.500

---

Record 13
A relaxed structure of La6Cd23, computed with PBE.

## Properties
* energy relative to the elements: -0.2699 eV/atom
* total energy: -2.015 eV/atom
* crystal system: cubic

Lattice parameters (Å, degrees): 10.116 10.116 10.116 60.00 60.00 60.00
Fractional positions:
La 0.209 0.209 0.791
La 0.209 0.791 0.209
La 0.209 0.791 0.791
La 0.791 0.209 0.209
La 0.791 0.209 0.791
La 0.791 0.791 0.209
Cd 0.000 0.000 0.500
Cd 0.000 0.500 0.000
Cd 0.000 0.500 0.500
Cd 0.135 0.622 0.622
Cd 0.168 0.168 0.168
Cd 0.168 0.168 0.497
Cd 0.168 0.497 0.168
Cd 0.378 0.378 0.378
Cd 0.378 0.378 0.865
Cd 0.378 0.865 0.378
Cd 0.497 0.168 0.168
Cd 0.500 0.000 0.000
Cd 0.500 0.000 0.500
Cd 0.500 0.500 0.000
Cd 0.500 0.500 0.500
Cd 0.503 0.832 0.832
Cd 0.622 0.135 0.622
Cd 0.622 0.622 0.135
Cd 0.622 0.622 0.622
Cd 0.832 0.503 0.832
Cd 0.832 0.832 0.503
Cd 0.832 0.832 0.832
Cd 0.865 0.378 0.378

---

Record 14
A relaxed structure of La5Cd, computed with PBE.

## Properties
* energy above the lowest structure with this stoichiometry: 0 meV/atom
* energy relative to the elements: -0.1090 eV/atom
* total energy: -4.368 eV/atom
* crystal system: tetragonal

Lattice parameters (Å, degrees): 3.786 3.786 14.477 90.00 90.00 90.00
Fractional positions:
La 0.000 0.000 0.000
La 0.000 0.000 0.355
La 0.000 0.000 0.645
La 0.500 0.500 0.180
La 0.500 0.500 0.820
Cd 0.500 0.500 0.500

---

Record 15
A relaxed structure of LaCd, computed with PBE.

## Properties
* energy relative to the elements: -0.2850 eV/atom
* total energy: -3.206 eV/atom
* crystal system: orthorhombic

Lattice parameters (Å, degrees): 6.507 6.507 6.507 145.12 130.40 62.06
Fractional positions:
La 0.364 0.114 0.250
La 0.636 0.886 0.750
Cd 0.101 0.351 0.750
Cd 0.899 0.649 0.250

---

Record 16
A relaxed structure of LaCd7, computed with PBE.

## Properties
* energy above the lowest structure with this stoichiometry: 0 meV/atom
* energy relative to the elements: -0.1650 eV/atom
* total energy: -1.582 eV/atom
* crystal system: monoclinic

Lattice parameters (Å, degrees): 7.296 7.296 4.241 106.56 106.56 70.00
Fractional positions:
La 0.000 0.000 0.000
Cd 0.171 0.559 0.364
Cd 0.239 0.239 0.738
Cd 0.441 0.829 0.636
Cd 0.500 0.500 0.000
Cd 0.559 0.171 0.364
Cd 0.761 0.761 0.262
Cd 0.829 0.441 0.636

---

Record 17
A relaxed structure of LaCd3, computed with PBE.

## Properties
* energy relative to the elements: -0.2345 eV/atom
* total energy: -2.153 eV/atom
* crystal system: orthorhombic

Lattice parameters (Å, degrees): 6.774 6.774 6.774 121.00 88.81 120.39
Fractional positions:
La 0.285 0.035 0.250
La 0.715 0.965 0.750
Cd 0.219 0.469 0.750
Cd 0.236 0.000 0.736
Cd 0.236 0.500 0.236
Cd 0.764 0.000 0.264
Cd 0.764 0.500 0.764
Cd 0.781 0.531 0.250

---

Record 18
A relaxed structure of La3Cd5, computed with PBE.

## Properties
* energy above the lowest structure with this stoichiometry: 139 meV/atom
* energy relative to the elements: -0.1519 eV/atom
* total energy: -2.572 eV/atom
* crystal system: orthorhombic

Lattice parameters (Å, degrees): 5.618 10.023 10.023 56.37 90.00 90.00
Fractional positions:
La 0.250 0.085 0.915
La 0.250 0.488 0.129
La 0.250 0.871 0.512
La 0.750 0.129 0.488
La 0.750 0.512 0.871
La 0.750 0.915 0.085
Cd 0.000 0.166 0.166
Cd 0.000 0.834 0.834
Cd 0.250 0.302 0.518
Cd 0.250 0.482 0.697
Cd 0.250 0.712 0.288
Cd 0.500 0.166 0.166
Cd 0.500 0.834 0.834
Cd 0.750 0.288 0.712
Cd 0.750 0.518 0.302
Cd 0.750 0.697 0.482

---

Record 19
A relaxed structure of La3Cd, computed with PBE.

## Properties
* energy relative to the elements: -0.1184 eV/atom
* total energy: -4.043 eV/atom
* crystal system: orthorhombic

Lattice parameters (Å, degrees): 5.846 7.051 6.308 90.00 90.00 90.00
Fractional positions:
La 0.250 0.006 0.128
La 0.250 0.250 0.609
La 0.250 0.494 0.128
La 0.750 0.506 0.872
La 0.750 0.750 0.391
La 0.750 0.994 0.872
Cd 0.250 0.750 0.663
Cd 0.750 0.250 0.337

---

Record 20
A relaxed structure of La2Cd, computed with PBE.

## Properties
* energy relative to the elements: -0.2165 eV/atom
* total energy: -3.806 eV/atom
* crystal system: orthorhombic

Lattice parameters (Å, degrees): 9.042 9.042 5.705 90.00 90.00 155.02
Fractional positions:
La 0.084 0.916 0.750
La 0.228 0.772 0.250
La 0.772 0.228 0.750
La 0.916 0.084 0.250
Cd 0.428 0.572 0.750
Cd 0.572 0.428 0.250